1.
Ba2BiB: single point on PBEsol structure, meta-GGA SCAN.

Unit cell a=8.072 b=8.072 c=8.072 alpha=90.00 beta=90.00 gamma=90.00
Space group Fm-3m (No. 225)
Symmetry-distinct sites (fractional):
Ba: 0.250 0.250 0.250 (multiplicity 8)
Bi: 0.000 0.000 0.000 (multiplicity 4)
B: 0.000 0.000 0.500 (multiplicity 4)

- density of states at the Fermi level (states/eV per atom) = 0.6699
- E_tot (eV/atom) = -41.097
- ΔH_f (0 K) (kJ/mol of formula units) = 70
- total magnetic moment (μB/f.u.) = 2.0



2.
Ba2BiBPd: single point on PBEsol structure, meta-GGA SCAN.

Unit cell a=6.183 b=6.183 c=4.054 alpha=90.00 beta=90.00 gamma=90.00
Space group P4/mmm (No. 123)
Symmetry-distinct sites (fractional):
Ba: 0.000 0.500 0.000 (multiplicity 2)
Bi: 0.000 0.000 0.500 (multiplicity 1)
B: 0.500 0.500 0.500 (multiplicity 1)
Pd: 0.500 0.500 0.000 (multiplicity 1)

- density of states at the Fermi level (states/eV per atom) = 0.4074
- E_tot (eV/atom) = -39.890
- ΔH_f (0 K) (kJ/mol of formula units) = -151
- total magnetic moment (μB/f.u.) = 0.2



3.
Ba2BBr: single point on PBEsol structure, meta-GGA SCAN.

Unit cell a=7.733 b=7.733 c=7.733 alpha=90.00 beta=90.00 gamma=90.00
Space group Fm-3m (No. 225)
Symmetry-distinct sites (fractional):
Ba: 0.250 0.250 0.250 (multiplicity 8)
B: 0.000 0.000 0.000 (multiplicity 4)
Br: 0.000 0.000 0.500 (multiplicity 4)

- density of states at the Fermi level (states/eV per atom) = 0.6130
- E_tot (eV/atom) = -26.809
- total magnetic moment (μB/f.u.) = 2.1
- energy relative to the elements, uncorrected (eV per atom) = -0.31



4.
Ba4NaGa2B8Br3O18: single point on PBEsol structure, meta-GGA SCAN.

Unit cell a=12.229 b=12.229 c=6.887 alpha=90.00 beta=90.00 gamma=90.00
Space group P4_2nm (No. 102)
Symmetry-distinct sites (fractional):
Ba: 0.019 0.274 0.000 (multiplicity 8)
Na: 0.000 0.000 0.336 (multiplicity 2)
Ga: 0.205 0.205 0.504 (multiplicity 4)
B: 0.033 0.768 0.541 (multiplicity 8)
B: 0.180 0.820 0.303 (multiplicity 4)
B: 0.231 0.769 0.629 (multiplicity 4)
Br: 0.000 0.000 0.921 (multiplicity 2)
Br: 0.000 0.500 0.268 (multiplicity 4)
O: 0.059 0.802 0.354 (multiplicity 8)
O: 0.071 0.241 0.607 (multiplicity 8)
O: 0.114 0.745 0.674 (multiplicity 8)
O: 0.194 0.806 0.097 (multiplicity 4)
O: 0.197 0.197 0.238 (multiplicity 4)
O: 0.250 0.250 0.921 (multiplicity 4)

- density of states at the Fermi level (states/eV per atom) = 0.0000
- E_tot (eV/atom) = -14.511
- total magnetic moment (μB/f.u.) = 0.0
- energy relative to the elements, uncorrected (eV per atom) = -2.70



Copy entry 4 word for word.
Ba4NaGa2B8Br3O18: single point on PBEsol structure, meta-GGA SCAN.

Unit cell a=12.229 b=12.229 c=6.887 alpha=90.00 beta=90.00 gamma=90.00
Space group P4_2nm (No. 102)
Symmetry-distinct sites (fractional):
Ba: 0.019 0.274 0.000 (multiplicity 8)
Na: 0.000 0.000 0.336 (multiplicity 2)
Ga: 0.205 0.205 0.504 (multiplicity 4)
B: 0.033 0.768 0.541 (multiplicity 8)
B: 0.180 0.820 0.303 (multiplicity 4)
B: 0.231 0.769 0.629 (multiplicity 4)
Br: 0.000 0.000 0.921 (multiplicity 2)
Br: 0.000 0.500 0.268 (multiplicity 4)
O: 0.059 0.802 0.354 (multiplicity 8)
O: 0.071 0.241 0.607 (multiplicity 8)
O: 0.114 0.745 0.674 (multiplicity 8)
O: 0.194 0.806 0.097 (multiplicity 4)
O: 0.197 0.197 0.238 (multiplicity 4)
O: 0.250 0.250 0.921 (multiplicity 4)

- density of states at the Fermi level (states/eV per atom) = 0.0000
- E_tot (eV/atom) = -14.511
- total magnetic moment (μB/f.u.) = 0.0
- energy relative to the elements, uncorrected (eV per atom) = -2.70